{
  "formula": "GaFe2BO5",
  "functional": "PBE+U",
  "state": "optimized geometry",
  "lattice_angstrom": [[9.662, 0.000, 0.000], [0.000, 12.456, 0.000], [0.000, 0.000, 3.055]],
  "species": ["Ga", "Ga", "Ga", "Ga", "Fe", "Fe", "Fe", "Fe", "Fe", "Fe", "Fe", "Fe", "B", "B", "B", "B", "O", "O", "O", "O", "O", "O", "O", "O", "O", "O", "O", "O", "O", "O", "O", "O", "O", "O", "O", "O"],
  "fractional_positions": [[0.241, 0.117, 0.000], [0.259, 0.617, 0.000], [0.741, 0.383, 0.000], [0.759, 0.883, 0.000], [0.000, 0.000, 0.500], [0.000, 0.500, 0.000], [0.004, 0.725, 0.500], [0.496, 0.225, 0.500], [0.500, 0.000, 0.000], [0.500, 0.500, 0.500], [0.504, 0.775, 0.500], [0.996, 0.275, 0.500], [0.236, 0.864, 0.000], [0.264, 0.364, 0.000], [0.736, 0.636, 0.000], [0.764, 0.136, 0.000], [0.112, 0.142, 0.500], [0.121, 0.362, 0.000], [0.124, 0.585, 0.500], [0.161, 0.960, 0.000], [0.164, 0.767, 0.000], [0.336, 0.267, 0.000], [0.339, 0.460, 0.000], [0.376, 0.085, 0.500], [0.379, 0.862, 0.000], [0.388, 0.642, 0.500], [0.612, 0.358, 0.500], [0.621, 0.138, 0.000], [0.624, 0.915, 0.500], [0.661, 0.540, 0.000], [0.664, 0.733, 0.000], [0.836, 0.233, 0.000], [0.839, 0.040, 0.000], [0.876, 0.415, 0.500], [0.879, 0.638, 0.000], [0.888, 0.858, 0.500]],
  "crystal_system": "orthorhombic",
  "e_tot_ev_per_atom": -6.9330
}

---

{
  "formula": "Li7CoO4F2",
  "functional": "PBE+U",
  "state": "optimized geometry",
  "lattice_angstrom": [[5.299, 0.000, 0.000], [2.407, 5.234, 0.000], [0.647, 2.418, 9.777]],
  "species": ["Li", "Li", "Li", "Li", "Li", "Li", "Li", "Li", "Li", "Li", "Li", "Li", "Li", "Li", "Co", "Co", "O", "O", "O", "O", "O", "O", "O", "O", "F", "F", "F", "F"],
  "fractional_positions": [[0.000, 0.000, 0.000], [0.003, 0.908, 0.389], [0.008, 0.672, 0.219], [0.080, 0.498, 0.617], [0.438, 0.967, 0.862], [0.481, 0.674, 0.090], [0.487, 0.636, 0.444], [0.501, 0.947, 0.220], [0.505, 0.005, 0.553], [0.514, 0.304, 0.334], [0.573, 0.489, 0.762], [0.934, 0.668, 0.900], [0.940, 0.038, 0.690], [0.975, 0.329, 0.120], [0.464, 0.315, 0.981], [0.992, 0.322, 0.408], [0.168, 0.541, 0.416], [0.186, 0.564, 0.064], [0.309, 0.069, 0.039], [0.312, 0.034, 0.377], [0.653, 0.534, 0.940], [0.709, 0.102, 0.866], [0.711, 0.553, 0.262], [0.782, 0.153, 0.499], [0.150, 0.659, 0.741], [0.248, 0.127, 0.689], [0.685, 0.631, 0.600], [0.827, 0.036, 0.203]],
  "crystal_system": "triclinic",
  "e_tot_ev_per_atom": -4.9754,
  "e_above_lowest_polymorph_ev_per_atom": 0.016
}